A geometry-optimized ErCdP2 structure, computed with PBE.

Computed properties:
Symmetry: R-3m (166)
Energy relative to the elements: -0.5431 eV per atom
Spin magnetization: 0.000 μB per atom
Crystal system: trigonal
Total energy: -18.5 eV/cell
Density: 6540 kg/m3

```
ErCdP2
1.0
4.058 0.000 0.000
2.029 3.514 0.000
2.029 1.171 6.082
P Cd Er
2 1 1
direct
0.249 0.249 0.252
0.751 0.751 0.748
0.000 0.000 0.000
0.500 0.500 0.500
```

A geometry-optimized ErCd2P2Pt7 structure, computed with PBE.

Computed properties:
Symmetry: C2/m (12)
Energy relative to the elements: -0.6422 eV per atom
Spin magnetization: 0.000 μB per atom
Crystal system: monoclinic
Total energy: -67.2 eV/cell
Density: 13748 kg/m3

```
ErCd2P2Pt7
1.0
3.985 -0.003 -0.086
0.002 3.985 -0.086
1.630 1.628 13.771
Er Cd P Pt
1 2 2 7
direct
0.000 0.000 0.000
0.906 0.906 0.403
0.094 0.094 0.597
0.582 0.582 0.748
0.418 0.418 0.252
0.500 0.500 0.000
0.404 0.404 0.415
0.596 0.596 0.585
0.949 0.448 0.157
0.448 0.949 0.157
0.552 0.051 0.843
0.051 0.552 0.843
```

A geometry-optimized ErCdP2Rh5 structure, computed with PBE.

Computed properties:
Symmetry: P4/mmm (123)
Energy relative to the elements: -0.4869 eV per atom
Spin magnetization: 0.000 μB per atom
Crystal system: tetragonal
Total energy: -57.4 eV/cell
Density: 8523 kg/m3

```
ErCdP2Rh5
1.0
-2.963 1.425 -2.246
-2.555 -0.590 2.997
1.954 9.698 3.574
Er Cd P Rh
1 1 2 5
direct
0.000 0.000 0.500
0.000 0.000 0.000
0.500 0.500 0.286
0.500 0.500 0.714
0.000 0.500 0.185
0.500 0.000 0.185
0.000 0.500 0.815
0.500 0.000 0.815
0.500 0.500 0.500
```

A geometry-optimized Er2PaCd structure, computed with PBE.

Computed properties:
Symmetry: P4/mmm (123)
Energy relative to the elements: 0.1438 eV per atom
Spin magnetization: 0.001 μB per atom
E above lowest polymorph: 0.86 eV per formula unit
Crystal system: tetragonal
Total energy: -19.0 eV/cell
Density: 10621 kg/m3

```
Er2PaCd
1.0
4.522 0.000 0.000
0.000 4.842 0.000
0.000 0.000 4.842
Cd Pa Er
1 1 2
direct
0.500 0.000 0.000
0.500 0.500 0.500
0.000 0.000 0.500
0.000 0.500 0.000
```

A geometry-optimized Er2PaCd structure, computed with PBE.

Computed properties:
Symmetry: R-3m (166)
Energy relative to the elements: 0.2225 eV per atom
Spin magnetization: 0.000 μB per atom
E above lowest polymorph: 1.17 eV per formula unit
Crystal system: trigonal
Total energy: -18.6 eV/cell
Density: 10441 kg/m3

```
Er2PaCd
1.0
3.247 0.000 0.000
1.624 2.812 0.000
1.624 0.937 11.808
Cd Pa Er
1 1 2
direct
0.500 0.500 0.500
0.000 0.000 0.000
0.091 0.091 0.728
0.909 0.909 0.272
```

A geometry-optimized Er2PaCd structure, computed with PBE.

Computed properties:
Symmetry: P4/mmm (123)
Energy relative to the elements: -0.0704 eV per atom
Spin magnetization: 0.029 μB per atom
E above lowest polymorph: 0.00 eV per formula unit
Crystal system: tetragonal
Total energy: -19.8 eV/cell
Density: 10653 kg/m3

```
Er2PaCd
1.0
-0.180 1.648 -2.974
-1.366 -2.762 -1.448
-8.337 2.991 2.162
Cd Pa Er
1 1 2
direct
0.500 0.500 0.000
0.500 0.500 0.500
0.000 0.000 0.760
0.000 0.000 0.240
```

A geometry-optimized ErPaCdPb structure, computed with PBE.

Computed properties:
Symmetry: F-43m (216)
Energy relative to the elements: 0.0300 eV per atom
Spin magnetization: 0.414 μB per atom
Crystal system: cubic
Total energy: -18.6 eV/cell
Density: 11058 kg/m3

```
ErPaCdPb
1.0
-4.395 3.026 -0.260
-4.378 -1.408 2.719
-1.536 2.849 4.250
Pb Cd Pa Er
1 1 1 1
direct
0.750 0.750 0.750
0.250 0.250 0.250
0.000 0.000 0.000
0.500 0.500 0.500
```

A geometry-optimized ErPaCdSn structure, computed with PBE.

Computed properties:
Symmetry: F-43m (216)
Energy relative to the elements: -0.1085 eV per atom
Spin magnetization: 0.406 μB per atom
Crystal system: cubic
Total energy: -19.4 eV/cell
Density: 10004 kg/m3

```
ErPaCdSn
1.0
-0.331 0.060 5.276
3.618 -2.535 2.904
3.512 2.750 2.837
Cd Pa Sn Er
1 1 1 1
direct
0.750 0.750 0.750
0.500 0.500 0.500
0.250 0.250 0.250
0.000 0.000 0.000
```

A geometry-optimized Er3CdPb6 structure, computed with PBE.

Computed properties:
Symmetry: R-3 (148)
Energy relative to the elements: -0.1812 eV per atom
Spin magnetization: 0.000 μB per atom
Crystal system: trigonal
Total energy: -77.3 eV/cell
Density: 10729 kg/m3

```
Er3CdPb6
1.0
-4.596 -6.386 3.721
-0.485 -1.540 -8.553
8.281 -1.621 2.134
Er Cd Pb
6 2 12
direct
0.565 0.879 0.805
0.879 0.805 0.565
0.195 0.435 0.121
0.805 0.565 0.879
0.121 0.195 0.435
0.435 0.121 0.195
0.000 0.000 0.000
0.500 0.500 0.500
0.193 0.741 0.909
0.259 0.091 0.807
0.490 0.820 0.388
0.091 0.807 0.259
0.388 0.490 0.820
0.180 0.612 0.510
0.820 0.388 0.490
0.612 0.510 0.180
0.909 0.193 0.741
0.510 0.180 0.612
0.741 0.909 0.193
0.807 0.259 0.091
```

A geometry-optimized ErCd2Pb structure, computed with PBE.

Computed properties:
Symmetry: Fm-3m (225)
Energy relative to the elements: -0.0855 eV per atom
Spin magnetization: 0.000 μB per atom
E above lowest polymorph: 0.83 eV per formula unit
Crystal system: cubic
Total energy: -10.4 eV/cell
Density: 9467 kg/m3

```
ErCd2Pb
1.0
5.297 0.000 0.000
2.649 4.588 0.000
2.649 1.529 4.325
Pb Cd Er
1 2 1
direct
0.500 0.500 0.500
0.250 0.250 0.250
0.750 0.750 0.750
0.000 0.000 0.000
```

A geometry-optimized ErCd4Pb structure, computed with PBE.

Computed properties:
Symmetry: Cmcm (63)
Energy relative to the elements: -0.1780 eV per atom
Spin magnetization: 0.000 μB per atom
E above lowest polymorph: 0.00 eV per formula unit
Crystal system: orthorhombic
Total energy: -26.0 eV/cell
Density: 9299 kg/m3

```
ErCd4Pb
1.0
-2.007 -4.657 0.041
5.893 -2.530 1.146
1.535 -0.580 9.342
Er Cd Pb
2 8 2
direct
0.750 0.123 0.253
0.250 0.877 0.747
0.250 0.809 0.414
0.250 0.965 0.081
0.750 0.723 0.586
0.750 0.546 0.919
0.750 0.191 0.586
0.250 0.277 0.414
0.750 0.035 0.919
0.250 0.454 0.081
0.750 0.619 0.262
0.250 0.381 0.738
```

A geometry-optimized Er3CdPb12 structure, computed with PBE.

Computed properties:
Symmetry: P4/mmm (123)
Energy relative to the elements: -0.1648 eV per atom
Spin magnetization: 0.000 μB per atom
Crystal system: tetragonal
Total energy: -61.7 eV/cell
Density: 11041 kg/m3

```
Er3CdPb12
1.0
4.803 0.000 0.000
0.000 4.803 0.000
0.000 0.000 20.219
Er Cd Pb
3 1 12
direct
0.000 0.000 0.260
0.000 0.000 0.500
0.000 0.000 0.740
0.000 0.000 0.000
0.500 0.500 0.000
0.500 0.500 0.250
0.500 0.500 0.500
0.500 0.500 0.750
0.500 0.000 0.128
0.500 0.000 0.377
0.500 0.000 0.623
0.500 0.000 0.872
0.000 0.500 0.128
0.000 0.500 0.377
0.000 0.500 0.623
0.000 0.500 0.872
```

A geometry-optimized ErCdPb structure, computed with PBE.

Computed properties:
Symmetry: Cmcm (63)
Energy relative to the elements: -0.2837 eV per atom
Spin magnetization: 0.000 μB per atom
Crystal system: orthorhombic
Total energy: -40.1 eV/cell
Density: 10131 kg/m3

```
ErCdPb
1.0
4.604 0.000 0.000
0.000 4.356 0.000
0.000 0.000 15.916
Er Cd Pb
4 4 4
direct
0.000 0.250 0.908
0.500 0.750 0.592
0.500 0.250 0.408
0.000 0.750 0.092
0.501 0.250 0.757
0.001 0.750 0.743
0.999 0.250 0.257
0.499 0.750 0.243
0.500 0.750 0.920
0.000 0.250 0.580
0.000 0.750 0.420
0.500 0.250 0.080
```

A geometry-optimized Er8Cd2Pb structure, computed with PBE.

Computed properties:
Symmetry: C2/m (12)
Energy relative to the elements: -0.2046 eV per atom
Spin magnetization: 0.000 μB per atom
E above lowest polymorph: 0.00 eV per formula unit
Crystal system: monoclinic
Total energy: -44.3 eV/cell
Density: 9453 kg/m3

```
Er8Cd2Pb
1.0
4.986 0.000 -1.610
-1.287 7.338 -3.987
0.003 -0.060 8.534
Er Cd Pb
8 2 1
direct
0.594 0.461 0.189
0.317 0.048 0.633
0.144 0.191 0.287
0.066 0.720 0.132
0.856 0.809 0.713
0.683 0.952 0.367
0.406 0.539 0.811
0.934 0.280 0.868
0.221 0.610 0.441
0.779 0.390 0.559
0.500 0.000 0.000
```

A geometry-optimized ErCdPb structure, computed with PBE.

Computed properties:
Symmetry: P3m1 (156)
Energy relative to the elements: -0.2403 eV per atom
Spin magnetization: 0.000 μB per atom
Crystal system: trigonal
Total energy: -9.9 eV/cell
Density: 10252 kg/m3

```
ErCdPb
1.0
-1.305 0.694 3.255
3.785 -2.614 2.075
0.518 4.948 -0.847
Pb Cd Er
1 1 1
direct
0.268 0.333 0.667
0.059 0.000 0.000
0.673 0.667 0.333
```

A geometry-optimized ErCd4Pb structure, computed with PBE.

Computed properties:
Symmetry: F-43m (216)
Energy relative to the elements: -0.0911 eV per atom
Spin magnetization: 0.000 μB per atom
E above lowest polymorph: 0.52 eV per formula unit
Crystal system: cubic
Total energy: -12.5 eV/cell
Density: 9153 kg/m3

```
ErCd4Pb
1.0
5.957 0.000 0.000
2.979 5.159 0.000
2.979 1.720 4.864
Pb Cd Er
1 4 1
direct
0.000 0.000 0.000
0.625 0.625 0.126
0.625 0.126 0.625
0.625 0.625 0.625
0.126 0.625 0.625
0.250 0.250 0.250
```

A geometry-optimized Er2Cd2Pb structure, computed with PBE.

Computed properties:
Symmetry: C2/m (12)
Energy relative to the elements: -0.1715 eV per atom
Spin magnetization: 0.000 μB per atom
Crystal system: monoclinic
Total energy: -15.5 eV/cell
Density: 8981 kg/m3

```
Er2Cd2Pb
1.0
-0.520 -7.778 2.114
3.824 -6.920 1.654
1.170 -3.211 5.050
Er Cd Pb
2 2 1
direct
0.699 0.699 0.809
0.301 0.301 0.191
0.403 0.403 0.515
0.597 0.597 0.485
0.000 0.000 0.000
```

A geometry-optimized Er2CdPb structure, computed with PBE.

Computed properties:
Symmetry: R-3m (166)
Energy relative to the elements: -0.0098 eV per atom
Spin magnetization: 0.000 μB per atom
Crystal system: trigonal
Total energy: -13.8 eV/cell
Density: 9063 kg/m3

```
Er2CdPb
1.0
3.500 0.000 0.000
1.750 3.031 0.000
1.750 1.010 11.296
Pb Cd Er
1 1 2
direct
0.000 0.000 0.000
0.500 0.500 0.500
0.093 0.093 0.720
0.907 0.907 0.280
```

A geometry-optimized ErCdPb structure, computed with PBE.

Computed properties:
Symmetry: R-3m (166)
Energy relative to the elements: -0.1763 eV per atom
Spin magnetization: 0.000 μB per atom
Crystal system: trigonal
Total energy: -19.4 eV/cell
Density: 9390 kg/m3

```
ErCdPb
1.0
4.871 0.000 0.000
2.436 4.218 0.000
2.436 1.406 8.381
Pb Cd Er
2 2 2
direct
0.301 0.301 0.098
0.699 0.699 0.902
0.159 0.159 0.523
0.841 0.841 0.477
0.431 0.431 0.706
0.569 0.569 0.294
```

A geometry-optimized Er2CdPb4 structure, computed with PBE.

Computed properties:
Symmetry: I4/mmm (139)
Energy relative to the elements: -0.2002 eV per atom
Spin magnetization: 0.000 μB per atom
Crystal system: tetragonal
Total energy: -26.3 eV/cell
Density: 10074 kg/m3

```
Er2CdPb4
1.0
-5.727 0.924 -2.914
4.640 0.176 -4.537
-0.180 -5.718 3.068
Pb Cd Er
4 1 2
direct
0.500 0.000 0.000
0.500 0.500 0.500
0.000 0.000 0.500
0.000 0.500 0.000
0.000 0.000 0.000
0.500 0.500 0.000
0.500 0.000 0.500
```

A geometry-optimized ErCdPb structure, computed with PBE.

Computed properties:
Symmetry: I4mm (107)
Energy relative to the elements: 0.0939 eV per atom
Spin magnetization: 0.087 μB per atom
Crystal system: tetragonal
Total energy: -8.9 eV/cell
Density: 8563 kg/m3

```
ErCdPb
1.0
-2.899 -1.169 1.203
0.171 -2.595 -2.110
5.557 -2.554 6.249
Pb Cd Er
1 1 1
direct
0.770 0.770 0.539
0.950 0.950 0.899
0.131 0.131 0.261
```

A geometry-optimized Er2Cd3Pb3 structure, computed with PBE.

Computed properties:
Symmetry: Pmmm (47)
Energy relative to the elements: -0.2861 eV per atom
Spin magnetization: 0.000 μB per atom
Crystal system: orthorhombic
Total energy: -25.3 eV/cell
Density: 10413 kg/m3

```
Er2Cd3Pb3
1.0
4.870 0.000 0.000
0.000 4.658 0.000
0.000 0.000 9.092
Er Cd Pb
2 3 3
direct
0.000 0.000 0.750
0.000 0.000 0.250
0.500 0.500 0.763
0.500 0.500 0.237
0.500 0.000 0.000
0.500 0.000 0.500
0.000 0.500 0.000
0.000 0.500 0.500
```

A geometry-optimized ErCd2Pb2 structure, computed with PBE.

Computed properties:
Symmetry: Cmcm (63)
Energy relative to the elements: -0.2089 eV per atom
Spin magnetization: 0.000 μB per atom
Crystal system: orthorhombic
Total energy: -29.7 eV/cell
Density: 10414 kg/m3

```
ErCd2Pb2
1.0
-2.126 0.904 -3.930
2.039 -3.644 -1.942
-8.319 -7.538 5.410
Er Cd Pb
2 4 4
direct
0.355 0.250 0.710
0.645 0.750 0.290
0.044 0.750 0.088
0.459 0.750 0.917
0.956 0.250 0.912
0.541 0.250 0.083
0.749 0.250 0.498
0.251 0.750 0.502
0.865 0.750 0.730
0.135 0.250 0.270
```

A geometry-optimized Er2CdPb structure, computed with PBE.

Computed properties:
Symmetry: P4/mmm (123)
Energy relative to the elements: -0.3614 eV per atom
Spin magnetization: 0.097 μB per atom
Crystal system: tetragonal
Total energy: -15.2 eV/cell
Density: 10296 kg/m3

```
Er2CdPb
1.0
-2.485 3.484 0.520
-0.864 0.111 -4.870
-3.949 -2.912 0.635
Pb Cd Er
1 1 2
direct
0.500 0.500 0.500
0.500 0.000 0.000
0.000 0.000 0.500
0.000 0.500 0.000
```

A geometry-optimized Er5CdPb4 structure, computed with PBE.

Computed properties:
Symmetry: I4 (79)
Energy relative to the elements: -0.2676 eV per atom
Spin magnetization: 0.000 μB per atom
Crystal system: tetragonal
Total energy: -41.2 eV/cell
Density: 9926 kg/m3

```
Er5CdPb4
1.0
6.306 0.000 0.000
3.153 6.867 0.000
3.153 0.000 6.867
Er Cd Pb
5 1 4
direct
0.872 0.405 0.780
0.278 0.780 0.595
0.652 0.220 0.405
0.058 0.595 0.220
0.652 0.000 0.000
0.151 0.000 0.000
0.358 0.386 0.822
0.744 0.822 0.614
0.180 0.178 0.386
0.566 0.614 0.178
```